Mn2TeSO | GGA+U | optimized geometry

Raw total energy, eV for the cell shown: -27.99

Lattice parameters (Å, degrees): 4.0501 4.0501 6.5267 90.00 90.00 90.00
Closest atoms and distances in Å follow each position.
Space group P4/mmm (No. 123)
One atom of each set of equivalent atoms:
Mn 0.0000 0.5000 0.0000 [2 per cell]  2 O 2.03
Te 0.0000 0.0000 0.5000 [1 per cell]  4 S 2.86
S 0.5000 0.5000 0.5000 [1 per cell]  4 Te 2.86
O 0.0000 0.0000 0.0000 [1 per cell]  4 Mn 2.03